VASP calculation (PBEsol) on an optimized crystal structure of Cu2SiAu. Values from VASP.

Computed properties:
- Fermi-level density of states: 0.7 states/eV/cell
- Uncorrected formation energy: -0.027 eV per atom
- Raw total energy: -4.61 eV/atom

```
&SYSTEM
  ibrav = 0, nat = 4, ntyp = 3
/
ATOMIC_SPECIES
Cu 63.55 Cu.upf
Si 28.09 Si.upf
Au 196.97 Au.upf
CELL_PARAMETERS angstrom
4.1315 -1.8923 0.0000
4.1315 1.8923 0.0000
-1.7177 0.0000 3.3745
ATOMIC_POSITIONS angstrom
Cu 0.0000 0.0000 0.0000
Cu 0.7754 0.0000 2.5352
Si 3.2668 0.0000 1.6986
Au 5.7645 0.0000 0.8502
```

***

VASP calculation (PBEsol) on an optimized crystal structure of TaBeCdTe2. Values from VASP.

Computed properties:
- Fermi-level density of states: 4.7 states/eV/cell
- Uncorrected formation energy: 0.830 eV per atom
- Raw total energy: -4.13 eV/atom

```
&SYSTEM
  ibrav = 0, nat = 5, ntyp = 4
/
ATOMIC_SPECIES
Ta 180.95 Ta.upf
Be 9.01 Be.upf
Cd 112.41 Cd.upf
Te 127.60 Te.upf
CELL_PARAMETERS angstrom
4.8426 0.0000 0.0000
0.0000 4.8426 0.0000
0.0000 0.0000 4.6202
ATOMIC_POSITIONS angstrom
Ta 0.0000 0.0000 0.0000
Be 0.0000 0.0000 2.3101
Cd 2.4213 2.4213 0.0000
Te 0.0000 2.4213 2.3101
Te 2.4213 0.0000 2.3101
```